{"formula": "CoIr2Pt", "functional": "PBEsol", "state": "optimized geometry", "magmom_total_mub_per_cell": 1.424, "final_energy_ev_per_cell": -34.14, "n_ef_per_ev_fu": 5.03, "lattice": [[4.4085, -1.3468, 0.0000], [4.4085, 1.3468, 0.0000], [-0.8304, 0.0000, 4.5385]], "species": ["Co", "Ir", "Ir", "Pt"], "fractional_positions": [[0.0000, 0.0000, 0.0000], [0.2550, 0.2550, 0.7490], [0.5057, 0.5057, 0.5166], [0.7503, 0.7503, 0.2418]]}